Density functional theory data (GGA-PBE) for an optimized crystal structure of LaTb3NdTh.

Structure (POSCAR):
```
LaTb3NdTh
1.0
9.9945 -2.8348 0.0000
9.9945 2.8348 0.0000
-0.0430 0.0000 7.1131
La Tb Nd Th
2 6 2 2
Cartesian
2.8862 0.0000 3.2366
17.0599 0.0000 3.8766
0.4359 0.0000 5.3472
5.5504 0.0000 5.3207
6.8557 0.0000 1.7452
13.0904 0.0000 5.3680
14.3957 0.0000 1.7924
19.5102 0.0000 1.7660
2.9487 0.0000 0.2378
16.9974 0.0000 6.8754
8.8985 0.0000 5.4727
11.0476 0.0000 1.6404
```

Properties
VASP energy in eV per atom: -4.96
V in Å³/cell: 403.1
Space-group type: C2/m
DOS at the Fermi energy in states/eV per cell: 16.91